Record 1
# NiHgGe2O6 | Alexandria | PBE+U | relaxed
# Size of the total moment, μB per atom: 0.20
# Uncorrected energy, eV/cell: -218.0
data_NiHgGe2O6
_cell_length_a 10.2925
_cell_length_b 9.4108
_cell_length_c 5.5486
_cell_angle_alpha 90.00
_cell_angle_beta 108.32
_cell_angle_gamma 90.00
_symmetry_space_group_name_H-M 'C 1 2/c 1'
_symmetry_Int_Tables_number 15
_symmetry_space_group_name_Hall '-C 2yc'
loop_
_atom_site_label
_atom_site_type_symbol
_atom_site_fract_x
_atom_site_fract_y
_atom_site_fract_z
Ni1 Ni 0.0000 0.0895 0.2500
Hg1 Hg 0.0000 0.2824 0.7500
Ge1 Ge 0.2074 0.4113 0.2682
O1 O 0.1132 0.0750 0.6249
O2 O 0.1282 0.2481 0.1490
O3 O 0.1390 0.4631 0.5146

=====

Record 2
# ZrMo2O8 | Alexandria | PBE+U | relaxed
# Size of the total moment, μB per atom: 0.00
# Uncorrected energy, eV/cell: -166.6
data_ZrMo2O8
_cell_length_a 13.8933
_cell_length_b 5.5091
_cell_length_c 5.4523
_cell_angle_alpha 90.00
_cell_angle_beta 91.70
_cell_angle_gamma 90.00
_symmetry_space_group_name_H-M 'C 1 2/m 1'
_symmetry_Int_Tables_number 12
_symmetry_space_group_name_Hall '-C 2y'
loop_
_atom_site_label
_atom_site_type_symbol
_atom_site_fract_x
_atom_site_fract_y
_atom_site_fract_z
Zr1 Zr 0.0000 0.0000 0.0000
Mo1 Mo 0.1468 0.0000 0.4168
O1 O 0.0877 0.2348 0.2304
O2 O 0.1054 0.0000 0.7338
O3 O 0.2284 0.5000 0.6082